--- P ---
Entry from Alexandria: an optimized crystal structure of LiPm2Au (PBE).

The structure in POSCAR format:
```
LiPm2Au
1.0
-1.132 3.540 -0.781
-0.381 -1.224 -5.001
-4.914 -1.413 0.720
Li Au Pm
1 1 2
Cartesian
-3.213 0.452 -2.531
-0.566 1.770 -0.390
-2.457 -0.706 0.360
-0.190 -0.612 -2.501
```

Results
crystal system	tetragonal
magnetic moment	0.00	Bohr magnetons per cell


--- Q ---
Entry from Alexandria: an optimized crystal structure of LiPm2Au (PBE).

The structure in POSCAR format:
```
LiPm2Au
1.0
4.056 0.000 0.000
2.028 3.513 0.000
2.028 1.171 8.624
Li Pm Au
1 2 1
Cartesian
4.056 2.342 4.284
2.028 1.171 6.790
2.028 1.171 1.838
4.056 2.342 0.024
```

Results
crystal system	trigonal
magnetic moment	0.00	Bohr magnetons per cell


Here are the energies relative to the best structure, in eV/atom: P 0.000; Q 0.208.


--- P ---
Entry from Alexandria: an optimized crystal structure of Li2PmAu6 (PBE).

The structure in POSCAR format:
```
Li2PmAu6
1.0
3.214 0.000 0.000
1.607 7.970 0.915
1.607 3.165 7.372
Li Pm Au
2 1 6
Cartesian
1.607 1.597 1.188
4.821 9.539 7.099
3.214 5.568 4.144
1.607 4.425 1.543
4.821 6.711 6.744
4.821 8.387 4.492
1.607 3.976 6.283
1.607 7.160 2.004
1.607 2.748 3.795
```

Results
crystal system	orthorhombic
magnetic moment	0.00	Bohr magnetons per cell


--- Q ---
Entry from Alexandria: an optimized crystal structure of Li2PmAu6 (PBE).

The structure in POSCAR format:
```
Li2PmAu6
1.0
-4.475 -0.064 -2.497
-1.047 -7.988 2.246
-3.243 5.019 5.852
Li Pm Au
4 2 12
Cartesian
-5.376 -0.881 4.675
-1.556 0.274 2.837
-3.389 -2.152 0.925
-7.209 -3.307 2.763
-3.930 2.443 4.518
-4.835 -5.476 1.083
-4.539 -2.933 3.121
-6.066 -2.486 0.579
-4.226 -0.100 2.480
-2.699 -0.547 5.022
-3.431 -5.393 3.951
-1.960 -4.336 1.033
-5.334 2.360 1.650
-6.805 1.303 4.567
-4.374 -2.041 6.896
-2.340 0.142 0.259
-4.392 -0.992 -1.296
-6.425 -3.175 5.342
```

Results
crystal system	monoclinic
magnetic moment	0.00	Bohr magnetons per cell


Here are the energies relative to the best structure, in eV/atom: P 0.057; Q 0.000.


--- P ---
Entry from Alexandria: an optimized crystal structure of LiPmPtAu (PBE).

The structure in POSCAR format:
```
LiPmPtAu
1.0
-3.897 1.051 -2.741
-4.381 -1.775 1.207
-3.454 2.988 1.715
Li Au Pt Pm
1 1 1 1
Cartesian
-5.866 1.132 0.090
-2.933 0.566 0.045
-8.799 1.698 0.136
0.000 0.000 0.000
```

Results
crystal system	cubic
magnetic moment	0.00	Bohr magnetons per cell


--- Q ---
Entry from Alexandria: an optimized crystal structure of LiPmPtAu (PBE).

The structure in POSCAR format:
```
LiPmPtAu
1.0
-0.545 0.185 4.417
-2.462 -4.863 -0.100
4.898 1.619 -1.709
Li Pm Pt Au
1 1 1 1
Cartesian
0.522 -2.751 0.179
1.379 -0.301 2.429
3.958 1.525 2.670
-1.117 -2.069 2.195
```

Results
crystal system	monoclinic
magnetic moment	0.00	Bohr magnetons per cell


Here are the energies relative to the best structure, in eV/atom: P 0.064; Q 0.000.


--- P ---
Entry from Alexandria: an optimized crystal structure of Li4Pr3Au4 (PBE).

The structure in POSCAR format:
```
Li4Pr3Au4
1.0
-0.009 3.392 2.493
-6.621 2.549 -3.492
-0.688 -6.608 5.435
Li Pr Au
4 3 4
Cartesian
-1.316 -2.841 3.862
-3.458 1.195 1.916
-6.002 2.174 0.575
-3.860 -1.862 2.520
-0.983 -0.893 1.212
-6.335 0.226 3.225
-3.310 1.274 -1.746
-5.063 -0.319 0.416
-2.254 -0.348 4.021
-5.331 3.746 -1.563
-1.299 2.194 0.564
```

Results
crystal system	orthorhombic
magnetic moment	0.00	Bohr magnetons per cell


--- Q ---
Entry from Alexandria: an optimized crystal structure of Li4Pr3Au4 (PBE).

The structure in POSCAR format:
```
Li4Pr3Au4
1.0
-3.408 0.468 1.854
-0.517 -4.319 0.145
4.869 -2.354 13.667
Li Pr Au
4 3 4
Cartesian
1.864 -2.040 12.175
1.437 -2.136 7.298
-0.492 -4.069 8.368
-0.919 -4.165 3.492
2.635 -4.392 10.073
-1.691 -1.813 5.593
0.000 0.000 0.000
2.211 -4.236 13.372
-1.267 -1.969 2.294
0.328 -4.240 5.802
0.616 -1.965 9.864
```

Results
crystal system	triclinic
magnetic moment	0.00	Bohr magnetons per cell


Here are the energies relative to the best structure, in eV/atom: P 0.000; Q 0.023.


--- P ---
Entry from Alexandria: an optimized crystal structure of Li3PrAu3 (PBE).

The structure in POSCAR format:
```
Li3PrAu3
1.0
6.737 0.000 0.000
0.000 6.737 0.000
0.000 0.000 6.737
Pr Au Li
2 6 6
Cartesian
3.369 3.369 3.369
0.000 0.000 0.000
0.000 1.684 3.369
0.000 5.053 3.369
3.369 0.000 5.053
5.053 3.369 0.000
3.369 0.000 1.684
1.684 3.369 0.000
1.684 0.000 3.369
0.000 3.369 1.684
3.369 5.053 0.000
5.053 0.000 3.369
0.000 3.369 5.053
3.369 1.684 0.000
```

Results
crystal system	cubic
magnetic moment	0.00	Bohr magnetons per cell


--- Q ---
Entry from Alexandria: an optimized crystal structure of Li3PrAu3 (PBE).

The structure in POSCAR format:
```
Li3PrAu3
1.0
4.613 0.000 0.000
0.000 7.396 -4.224
0.000 -0.040 8.523
Li Pr Au
6 2 6
Cartesian
3.460 5.638 -3.127
3.460 1.830 0.978
3.460 7.287 2.226
1.153 1.718 7.426
1.153 5.527 3.321
1.153 0.069 2.073
3.460 2.440 4.274
1.153 4.917 0.024
3.460 6.898 -0.786
3.460 3.224 -1.286
3.460 4.630 2.146
1.153 0.458 5.085
1.153 4.133 5.585
1.153 2.726 2.153
```

Results
crystal system	monoclinic
magnetic moment	0.00	Bohr magnetons per cell


Here are the energies relative to the best structure, in eV/atom: P 0.364; Q 0.000.


--- P ---
Entry from Alexandria: an optimized crystal structure of LiPr2Au4 (PBE).

The structure in POSCAR format:
```
LiPr2Au4
1.0
-1.777 4.404 2.333
-2.523 -0.245 4.542
5.030 2.847 4.457
Li Pr Au
1 2 4
Cartesian
0.000 0.000 0.000
0.852 5.511 8.247
-0.123 1.495 3.084
0.428 4.573 3.694
0.301 2.433 7.638
-1.494 2.920 5.351
2.223 4.087 5.981
```

Results
crystal system	monoclinic
magnetic moment	0.00	Bohr magnetons per cell


--- Q ---
Entry from Alexandria: an optimized crystal structure of LiPr2Au4 (PBE).

The structure in POSCAR format:
```
LiPr2Au4
1.0
4.677 0.000 0.000
0.000 4.677 0.000
-2.339 -2.339 7.683
Li Pr Au
1 2 4
Cartesian
0.000 0.000 0.000
2.339 2.339 2.189
0.000 0.000 5.494
2.339 2.339 5.187
0.000 0.000 2.496
0.000 2.339 0.000
2.339 0.000 0.000
```

Results
crystal system	tetragonal
magnetic moment	0.00	Bohr magnetons per cell


Here are the energies relative to the best structure, in eV/atom: P 0.000; Q 0.134.